Computed, not measured: a relaxed structure of Sm4HoGa2 at the PBE level of DFT.

abc: 5.0226 5.0226 10.4521
angles: 76.10 76.10 60.00
Closest atoms and distances in Å follow each position.
Element x y z (fractional)
Sm 0.7020 0.7020 0.8939  4 Ga 3.06-3.11
Sm 0.8963 0.8963 0.3112  3 Ga 3.09, 3 Ho 3.46
Sm 0.2980 0.2980 0.1061  4 Ga 3.06-3.11
Sm 0.1037 0.1037 0.6888  3 Ga 3.09, 3 Ho 3.46
Ho 0.5000 0.5000 0.5000  2 Ga 2.98
Ga 0.5988 0.5988 0.2037  1 Ho 2.98, 7 Sm 3.06-3.11
Ga 0.4012 0.4012 0.7963  1 Ho 2.98, 7 Sm 3.06-3.11

## Properties
symmetry = R-3m (166)
total magnetization = 0.0 μB/f.u.



Computed, not measured: a relaxed structure of SmHo2Ga4 at the PBE level of DFT.

abc: 4.1428 4.2824 9.5830
angles: 102.91 102.48 90.00
Closest atoms and distances in Å follow each position.
Element x y z (fractional)
Ga 0.6478 0.6478 0.2956  2 Ga 2.53
Ga 0.3522 0.3522 0.7044  2 Ga 2.53
Ga 0.0676 0.5676 0.1352  3 Ga 2.46-2.53
Ga 0.9324 0.4324 0.8648  3 Ga 2.46-2.53
Ho 0.8151 0.8151 0.6302  7 Ga 3.02-3.05
Ho 0.1849 0.1849 0.3698  7 Ga 3.02-3.05
Sm 0.5000 0.0000 0.0000  12 Ga 3.22-3.44

## Properties
symmetry = Immm (71)
total magnetization = 0.0 μB/f.u.



no.,E_tot (eV/cell)
1,-30.1
2,-30.5